# 1
Here is a relaxed La4SmS7 crystal from Alexandria via LeMat-Bulk. Energies are from GGA-PBE.

SG	Cm
formation energy from raw total energies	-2.1588	eV/atom

The structure in POSCAR format:
```
La4SmS7
1.0
6.8097 -2.0145 0.0000
6.8097 2.0145 0.0000
-3.2005 0.0000 11.5687
La Sm S
4 1 7
Direct
0.0000 0.0000 0.0000
0.1909 0.1909 0.7668
0.5870 0.5870 0.3830
0.8883 0.8883 0.5734
0.7763 0.7763 0.1534
0.1553 0.1553 0.2233
0.2286 0.2286 0.5244
0.3843 0.3843 0.0769
0.5480 0.5480 0.6259
0.6290 0.6290 0.9312
0.8451 0.8451 0.7903
0.9311 0.9311 0.3560
```



# 2
Here is a relaxed NaMo2Ru2 crystal from Alexandria via LeMat-Bulk. Energies are from GGA-PBE.

SG	P4/mbm
excess energy over the best structure of this formula in the dataset	0.21	kcal/mol of atoms

The structure in POSCAR format:
```
NaMo2Ru2
1.0
7.7857 0.0000 0.0000
0.0000 7.7857 0.0000
0.0000 0.0000 2.7633
Na Mo Ru
2 4 4
Direct
0.0000 0.0000 0.0000
0.5000 0.5000 0.0000
0.1441 0.3559 0.0000
0.3559 0.8559 0.0000
0.6441 0.1441 0.0000
0.8559 0.6441 0.0000
0.1473 0.6473 0.5000
0.3527 0.1473 0.5000
0.6473 0.8527 0.5000
0.8527 0.3527 0.5000
```